Entry from the Alexandria database: a geometry-optimized SmUMnO6 structure (PBE+U).

Summary:
SG: No. 149
Total energy in eV/atom: -8.457
Calculated density in g/cm³: 7.05

Cell lengths 5.757, 5.757, 4.424 Å; angles 90.00, 90.00, 120.00 degrees
Element x y z (fractional)
Sm: 0.000 0.000 0.000
U: 0.333 0.667 0.000
Mn: 0.667 0.333 0.500
O: 0.013 0.365 0.243
O: 0.013 0.648 0.757
O: 0.352 0.365 0.757
O: 0.352 0.987 0.243
O: 0.635 0.648 0.243
O: 0.635 0.987 0.757